[1]
# PBE TiNb3Mo2, relaxed
# - ΔE_f: 77 meV per atom
# - Calculated volume: 428.6 Å³ per cell
# - Energy above the most stable polymorph in this dataset: 0.000 eV/atom
# - Total moment: 0.0 μB per formula unit
data_TiNb3Mo2
_cell_length_a 13.538
_cell_length_b 4.555
_cell_length_c 6.981
_cell_angle_alpha 90.00
_cell_angle_beta 95.33
_cell_angle_gamma 90.00
_space_group_name_H-M_alt 'C 1 2/m 1'
_space_group_IT_number 12
loop_
_space_group_symop_operation_xyz
'x,y,z'
'-x,-y,-z'
'-x,y,-z'
'x,-y,z'
'x+1/2,y+1/2,z'
'-x+1/2,-y+1/2,-z'
'-x+1/2,y+1/2,-z'
'x+1/2,-y+1/2,z'
loop_
_atom_site_label
_atom_site_type_symbol
_atom_site_fract_x
_atom_site_fract_y
_atom_site_fract_z
Ti1 Ti 0.150 0.000 0.286
Nb1 Nb 0.074 0.000 0.862
Nb2 Nb 0.114 0.500 0.571
Nb3 Nb 0.192 0.500 0.971
Mo1 Mo 0.038 0.500 0.188
Mo2 Mo 0.233 0.000 0.655


[2]
# PBE TcSbPt2, relaxed
# - Calculated volume: 68.0 Å³ per cell
# - Energy relative to the elements, uncorrected: 0.064 eV per atom
# - Total moment: 0.0 μB per formula unit
data_TcSbPt2
_cell_length_a 2.998
_cell_length_b 4.029
_cell_length_c 5.633
_cell_angle_alpha 90.00
_cell_angle_beta 90.09
_cell_angle_gamma 90.00
_space_group_name_H-M_alt 'P 1 2/m 1'
_space_group_IT_number 10
loop_
_space_group_symop_operation_xyz
'x,y,z'
'-x,-y,-z'
'-x,y,-z'
'x,-y,z'
loop_
_atom_site_label
_atom_site_type_symbol
_atom_site_fract_x
_atom_site_fract_y
_atom_site_fract_z
Tc1 Tc 0.000 0.000 0.000
Sb1 Sb 0.000 0.000 0.500
Pt1 Pt 0.500 0.500 0.233